Material: NaLa2Ge4Pt3
Method: DFT, GGA-PBE
State: optimized geometry

Summary:
Symmetry: P-4m2
Uncorrected energy in eV/atom: -5.566
Magnetic moment in μB/f.u.: 0.00
Energy of formation in eV/atom: -0.790

Cell lengths 4.4392, 4.4392, 10.4388 Å; angles 90.00, 90.00, 90.00 degrees
Last column: nearest neighbours and their distance in Å.
Atoms (fractional coordinates):
Na: 0.5000 0.5000 0.5000  4 Ge 2.68
La: 0.5000 0.0000 0.2435  8 Ge 3.35-3.37, 6 Pt 3.40-3.48, 2 Na 3.48
La: 0.0000 0.5000 0.7565  8 Ge 3.35-3.37, 6 Pt 3.40-3.48, 2 Na 3.48
Ge: 0.5000 0.5000 0.0000  4 Pt 2.54
Ge: 0.0000 0.0000 0.0000  4 Pt 2.54
Ge: 0.5000 0.0000 0.6446  3 Pt 2.48-2.68, 2 Na 2.68
Ge: 0.0000 0.5000 0.3554  3 Pt 2.48-2.68, 2 Na 2.68
Pt: 0.0000 0.0000 0.5000  4 Ge 2.68
Pt: 0.5000 0.0000 0.8823  5 Ge 2.48-2.54
Pt: 0.0000 0.5000 0.1177  5 Ge 2.48-2.54

=====

Material: CaSmInPt
Method: DFT, GGA-PBE
State: optimized geometry

Summary:
Symmetry: F-43m
Uncorrected energy in eV/atom: -4.544
Magnetic moment in μB/f.u.: 0.00
Energy of formation in eV/atom: -0.669

Cell lengths 5.1945, 5.1945, 5.1945 Å; angles 60.00, 60.00, 60.00 degrees
Last column: nearest neighbours and their distance in Å.
Atoms (fractional coordinates):
Ca: 0.5000 0.5000 0.5000  4 In 3.18, 4 Pt 3.18
Sm: 0.0000 0.0000 0.0000  4 In 3.18, 4 Pt 3.18
Pt: 0.7500 0.7500 0.7500  4 Ca 3.18, 4 Sm 3.18
In: 0.2500 0.2500 0.2500  4 Ca 3.18, 4 Sm 3.18

=====

Mass density readings, ordered: 9.50 8.38 Mg/m³